The following is a PBE calculation of NaNiN after structural relaxation, from Alexandria via LeMat-Bulk.

Computed properties:
Total moment = 0.335 μB per cell
Relative energy among the computed polymorphs = 0.0 meV per atom
Formation energy (no corrections) = 0.05 eV per formula unit

Cell lengths 3.5001, 4.8447, 5.9900 Å; angles 110.82, 106.66, 90.02 degrees
Last column: magnetic moment on the atom in μB.
Fractional positions:
Na 0.5980 0.8304 0.1856  0.00
Na 0.4020 0.1696 0.8144  0.00
Ni 0.8221 0.5915 0.6468  0.11
Ni 0.1779 0.4085 0.3532  0.11
N 0.3607 0.6341 0.7256  0.04
N 0.6393 0.3659 0.2744  0.04

The following is a PBE calculation of LiNp2Sb4 after structural relaxation, from Alexandria via LeMat-Bulk.

Computed properties:
Total moment = 7.107 μB per cell
Formation energy (no corrections) = -1.75 eV per formula unit

Cell lengths 4.3508, 4.3508, 9.4174 Å; angles 90.00, 90.00, 90.00 degrees
Last column: magnetic moment on the atom in μB.
Fractional positions:
Li 0.5000 0.5000 0.0000  -0.01
Np 0.5000 0.0000 0.7577  3.68
Np 0.0000 0.5000 0.2423  3.68
Sb 0.5000 0.0000 0.1585  -0.11
Sb 0.0000 0.5000 0.8415  -0.11
Sb 0.5000 0.5000 0.5000  -0.06
Sb 0.0000 0.0000 0.5000  -0.06

In the order shown, the computed electronic total energy values come out to -5.125; -6.577 eV per atom.
In the order shown, the computed DOS(E_F) values come out to 2.43; 22.42 states/eV/f.u..